Below is TbPuMgHg after structural relaxation, with properties calculated at the PBE level. Values from VASP.

Geometry as Quantum ESPRESSO input:
```
&SYSTEM
  ibrav = 0, nat = 4, ntyp = 4
/
ATOMIC_SPECIES
Hg 200.59 Hg.upf
Tb 158.93 Tb.upf
Mg 24.30 Mg.upf
Pu 244.00 Pu.upf
CELL_PARAMETERS angstrom
5.325 0.000 0.000
2.663 4.612 0.000
2.663 1.537 4.348
ATOMIC_POSITIONS angstrom
Hg 0.000 0.000 0.000
Tb 7.988 4.612 3.261
Mg 5.325 3.075 2.174
Pu 2.663 1.537 1.087
```

## Properties
VASP energy in eV/atom: -5.281

Below is LaNbSn2Se after structural relaxation, with properties calculated at the PBE level. Values from VASP.

Geometry as Quantum ESPRESSO input:
```
&SYSTEM
  ibrav = 0, nat = 5, ntyp = 4
/
ATOMIC_SPECIES
Sn 118.71 Sn.upf
Nb 92.91 Nb.upf
La 138.91 La.upf
Se 78.96 Se.upf
CELL_PARAMETERS angstrom
-4.106 -2.114 2.616
-1.579 -2.434 -4.445
3.074 -4.364 1.298
ATOMIC_POSITIONS angstrom
Sn -0.789 -1.217 -2.222
Sn -2.053 -1.057 1.308
Nb 0.000 0.000 0.000
La 1.537 -2.182 0.649
Se -1.306 -4.456 -0.265
```

## Properties
VASP energy in eV/atom: -5.250
Uncorrected formation energy in eV/atom: 0.047

Below is LiAc4Pb8 after structural relaxation, with properties calculated at the PBE level. Values from VASP.

Geometry as Quantum ESPRESSO input:
```
&SYSTEM
  ibrav = 0, nat = 13, ntyp = 3
/
ATOMIC_SPECIES
Pb 207.20 Pb.upf
Ac 227.00 Ac.upf
Li 6.94 Li.upf
CELL_PARAMETERS angstrom
4.729 0.000 0.000
0.000 4.880 0.000
0.000 0.000 18.584
ATOMIC_POSITIONS angstrom
Pb 0.000 2.440 4.390
Pb 2.365 2.440 0.946
Pb 0.000 2.440 17.390
Pb 0.000 0.000 13.858
Ac 2.365 0.000 16.663
Pb 2.365 0.000 4.417
Pb 0.000 0.000 8.538
Li 0.000 0.000 5.852
Pb 2.365 2.440 14.059
Ac 2.365 2.440 7.392
Pb 2.365 0.000 10.613
Ac 0.000 0.000 1.773
Ac 0.000 2.440 11.243
```

## Properties
VASP energy in eV/atom: -4.136